#P
The following is a PBE-GGA calculation of SrNiMo after structural relaxation, from the Alexandria database.

abc: 7.9070 3.5514 9.5680
angles: 90.00 90.00 90.00
Positions (direct):
Sr 0.9494 0.2500 0.8245
Sr 0.5506 0.7500 0.3245
Sr 0.0506 0.7500 0.1755
Sr 0.4494 0.2500 0.6755
Mo 0.8967 0.2500 0.4682
Mo 0.6033 0.7500 0.9682
Mo 0.1033 0.7500 0.5318
Mo 0.3967 0.2500 0.0318
Ni 0.2288 0.2500 0.3843
Ni 0.2712 0.7500 0.8843
Ni 0.7712 0.7500 0.6157
Ni 0.7288 0.2500 0.1157

Calculated values
theoretical density: 5.989 g/cm3

***

#Q
The following is a PBE-GGA calculation of SrNiMo after structural relaxation, from the Alexandria database.

abc: 4.0335 4.0335 5.0382
angles: 90.00 90.00 120.00
Positions (direct):
Mo 0.0000 0.0000 0.1666
Ni 0.6667 0.3333 0.1667
Sr 0.3333 0.6667 0.6666

Calculated values
theoretical density: 5.667 g/cm3

***

#R
The following is a PBE-GGA calculation of SrNiMo after structural relaxation, from the Alexandria database.

abc: 9.9525 3.8408 3.8409
angles: 90.00 78.87 101.12
Positions (direct):
Sr 0.9969 0.6851 0.7697
Sr 0.6384 0.0055 0.4489
Mo 0.3276 0.8503 0.1041
Mo 0.3076 0.3402 0.6143
Ni 0.1377 0.2554 0.1995
Ni 0.4974 0.4352 0.0194

Calculated values
theoretical density: 5.696 g/cm3

***

Verdict on stability: #Q comes out at the bottom.

***

#P
The following is a PBE-GGA calculation of SrNiMo after structural relaxation, from the Alexandria database.

abc: 10.1998 4.5178 3.8796
angles: 64.54 78.89 95.78
Positions (direct):
Sr 0.9940 0.3084 0.6093
Sr 0.6219 0.6910 0.6003
Mo 0.2158 0.0218 0.1409
Mo 0.3514 0.3134 0.4260
Ni 0.4465 0.9493 0.0596
Ni 0.2761 0.6605 0.7911

Calculated values
theoretical density: 5.192 g/cm3

***

#Q
The following is a PBE-GGA calculation of SrNiMo after structural relaxation, from the Alexandria database.

abc: 10.4694 3.7276 3.8537
angles: 90.00 87.40 90.00
Positions (direct):
Sr 0.4865 0.2423 0.5881
Sr 0.8172 0.7422 0.0343
Mo 0.2340 0.7437 0.2756
Mo 0.0697 0.2437 0.3520
Ni 0.0768 0.7442 0.8080
Ni 0.2275 0.2442 0.8195

Calculated values
theoretical density: 5.355 g/cm3

***

Verdict on stability: #Q comes out at the bottom.

***

#P
The following is a PBE-GGA calculation of SrNiMo after structural relaxation, from the Alexandria database.

abc: 8.0970 4.1962 4.1953
angles: 90.00 90.02 90.58
Positions (direct):
Sr 0.0054 0.5441 0.2916
Sr 0.6542 0.0382 0.7916
Mo 0.3058 0.0422 0.2921
Mo 0.4708 0.5316 0.2913
Ni 0.1472 0.0518 0.7921
Ni 0.3224 0.5526 0.7914

Calculated values
theoretical density: 5.645 g/cm3

***

#Q
The following is a PBE-GGA calculation of SrNiMo after structural relaxation, from the Alexandria database.

abc: 6.1054 4.2188 5.2929
angles: 90.00 91.98 110.22
Positions (direct):
Sr 0.5957 0.8816 0.6497
Sr 0.7077 0.4377 0.1474
Mo 0.2328 0.7006 0.1333
Mo 0.1514 0.1598 0.4071
Ni 0.0734 0.6210 0.6473
Ni 0.1506 0.1596 0.8926

Calculated values
theoretical density: 6.293 g/cm3

***

#R
The following is a PBE-GGA calculation of SrNiMo after structural relaxation, from the Alexandria database.

abc: 9.1753 3.5137 4.2214
angles: 90.00 89.99 90.00
Positions (direct):
Sr 0.9917 0.0119 0.9426
Sr 0.6437 0.5119 0.4426
Mo 0.3293 0.5120 0.9424
Mo 0.3060 0.0120 0.4425
Ni 0.1232 0.5120 0.4428
Ni 0.5119 0.0120 0.9429

Calculated values
theoretical density: 5.912 g/cm3

***

#S
The following is a PBE-GGA calculation of SrNiMo after structural relaxation, from the Alexandria database.

abc: 10.4251 3.8682 4.5078
angles: 115.22 83.44 76.95
Positions (direct):
Sr 0.9952 0.3086 0.2475
Sr 0.6213 0.2759 0.9368
Mo 0.3527 0.8988 0.8569
Mo 0.2167 0.4118 0.7174
Ni 0.4457 0.1080 0.3901
Ni 0.2741 0.6630 0.2900

Calculated values
theoretical density: 5.171 g/cm3

***

Verdict on stability: #Q comes out at the bottom.

***

#P
The following is a PBE-GGA calculation of Sr2NiMo after structural relaxation, from the Alexandria database.

abc: 6.0116 6.0116 6.0116
angles: 135.24 135.24 65.15
Positions (direct):
Mo 0.5000 0.5000 0.0000
Ni 0.7500 0.2500 0.5000
Sr 0.0000 0.0000 0.0000
Sr 0.2500 0.7500 0.5000

Calculated values
theoretical density: 5.161 g/cm3

***

#Q
The following is a PBE-GGA calculation of Sr2NiMo after structural relaxation, from the Alexandria database.

abc: 5.8228 5.8228 5.2249
angles: 63.30 63.30 40.52
Positions (direct):
Mo 0.7500 0.7500 0.7500
Ni 0.2500 0.2500 0.2500
Sr 0.9651 0.9651 0.0349
Sr 0.5349 0.5349 0.4651

Calculated values
theoretical density: 5.421 g/cm3

***

#R
The following is a PBE-GGA calculation of Sr2NiMo after structural relaxation, from the Alexandria database.

abc: 5.3521 5.3521 5.3521
angles: 60.00 60.00 60.00
Positions (direct):
Sr 0.2500 0.2500 0.2500
Sr 0.7500 0.7500 0.7500
Mo 0.5000 0.5000 0.5000
Ni 0.0000 0.0000 0.0000

Calculated values
theoretical density: 5.053 g/cm3

***

Verdict on stability: #P comes out at the bottom.

***

#P
The following is a PBE-GGA calculation of Sr2NiMo after structural relaxation, from the Alexandria database.

abc: 3.8005 3.8003 8.1904
angles: 62.37 90.00 90.00
Positions (direct):
Mo 0.5000 0.2500 0.2500
Ni 0.5000 0.7500 0.7500
Sr 0.0000 0.0162 0.9837
Sr 0.0000 0.4838 0.5163

Calculated values
theoretical density: 5.226 g/cm3

***

#Q
The following is a PBE-GGA calculation of Sr2NiMo after structural relaxation, from the Alexandria database.

abc: 11.2402 11.2402 8.2708
angles: 47.19 47.19 90.00
Positions (direct):
Sr 0.4513 0.1250 0.2500
Sr 0.2987 0.6250 0.2500
Sr 0.3750 0.5487 0.7500
Sr 0.8750 0.7013 0.7500
Mo 0.0000 0.0000 0.0000
Mo 0.7500 0.2500 0.5000
Ni 0.5000 0.5000 0.0000
Ni 0.2500 0.7500 0.5000

Calculated values
theoretical density: 3.790 g/cm3

***

#R
The following is a PBE-GGA calculation of Sr2NiMo after structural relaxation, from the Alexandria database.

abc: 3.3900 3.4098 9.8552
angles: 70.16 90.00 90.00
Positions (direct):
Mo 0.0000 0.4373 0.5839
Ni 0.5000 0.8060 0.6750
Sr 0.0000 0.0664 0.9199
Sr 0.5000 0.1903 0.3212

Calculated values
theoretical density: 5.112 g/cm3

***

#S
The following is a PBE-GGA calculation of Sr2NiMo after structural relaxation, from the Alexandria database.

abc: 5.2034 5.2034 5.2034
angles: 60.00 60.00 60.00
Positions (direct):
Mo 0.5000 0.5000 0.5000
Ni 0.7500 0.7500 0.7500
Sr 0.0000 0.0000 0.0000
Sr 0.2500 0.2500 0.2500

Calculated values
theoretical density: 5.499 g/cm3

***

Verdict on stability: #S comes out at the bottom.

***

#P
The following is a PBE-GGA calculation of Sr2NiMo after structural relaxation, from the Alexandria database.

abc: 9.8866 9.8866 9.8866
angles: 19.77 19.77 19.77
Positions (direct):
Mo 0.2500 0.2500 0.2500
Ni 0.7500 0.7500 0.7500
Sr 0.0070 0.0070 0.0070
Sr 0.4930 0.4930 0.4930

Calculated values
theoretical density: 5.667 g/cm3

***

#Q
The following is a PBE-GGA calculation of Sr2NiMo after structural relaxation, from the Alexandria database.

abc: 6.5706 6.5706 5.2212
angles: 66.59 66.59 32.87
Positions (direct):
Mo 0.5733 0.5733 0.4268
Ni 0.1916 0.1916 0.3082
Sr 0.9762 0.9762 0.0239
Sr 0.7589 0.7589 0.7411

Calculated values
theoretical density: 4.920 g/cm3

***

#R
The following is a PBE-GGA calculation of Sr2NiMo after structural relaxation, from the Alexandria database.

abc: 3.2303 3.2303 9.1018
angles: 90.00 90.00 90.06
Positions (direct):
Mo 0.5000 0.5000 0.2500
Ni 0.5000 0.5000 0.7500
Sr 0.0000 0.0000 0.9735
Sr 0.0000 0.0000 0.5265

Calculated values
theoretical density: 5.767 g/cm3

***

Verdict on stability: #P comes out at the bottom.

***

#P
The following is a PBE-GGA calculation of TaNiMo2 after structural relaxation, from the Alexandria database.

abc: 4.4166 2.6899 5.2402
angles: 80.93 90.00 90.00
Positions (direct):
Mo 0.0000 0.0094 0.0104
Mo 0.5000 0.2534 0.2391
Ni 0.0000 0.4799 0.5107
Ta 0.5000 0.7573 0.7399

Calculated values
theoretical density: 11.656 g/cm3

***

#Q
The following is a PBE-GGA calculation of TaNiMo2 after structural relaxation, from the Alexandria database.

abc: 4.4286 4.4286 4.4286
angles: 60.00 60.00 60.00
Positions (direct):
Ni 0.0000 0.0000 0.0000
Mo 0.2500 0.2500 0.2500
Mo 0.7500 0.7500 0.7500
Ta 0.5000 0.5000 0.5000

Calculated values
theoretical density: 11.667 g/cm3

***

#R
The following is a PBE-GGA calculation of TaNiMo2 after structural relaxation, from the Alexandria database.

abc: 2.6696 4.0023 5.7781
angles: 90.00 90.00 90.00
Positions (direct):
Mo 0.0000 0.0000 0.0084
Mo 0.5000 0.5000 0.2594
Ni 0.0000 0.0000 0.4986
Ta 0.5000 0.5000 0.7336

Calculated values
theoretical density: 11.607 g/cm3

***

Verdict on stability: #Q comes out at the bottom.

***

#P
The following is a PBE-GGA calculation of Ta3NiMo after structural relaxation, from the Alexandria database.

abc: 4.5616 4.5616 4.5616
angles: 90.00 90.00 90.00
Positions (direct):
Ni 0.0000 0.0000 0.0000
Mo 0.5000 0.5000 0.5000
Ta 0.0000 0.5000 0.0000
Ta 0.0000 0.0000 0.5000
Ta 0.5000 0.0000 0.0000

Calculated values
theoretical density: 12.202 g/cm3

***

#Q
The following is a PBE-GGA calculation of Ta3NiMo after structural relaxation, from the Alexandria database.

abc: 4.7835 4.7835 4.7835
angles: 90.00 90.00 90.00
Positions (direct):
Ni 0.5000 0.5000 0.5000
Mo 0.0000 0.0000 0.0000
Ta 0.0000 0.5000 0.0000
Ta 0.0000 0.0000 0.5000
Ta 0.5000 0.0000 0.0000

Calculated values
theoretical density: 10.582 g/cm3

***

Verdict on stability: #Q comes out at the bottom.

***

#P
The following is a PBE-GGA calculation of TaNiMo3 after structural relaxation, from the Alexandria database.

abc: 4.4657 4.4657 4.4657
angles: 90.00 90.00 90.00
Positions (direct):
Ni 0.0000 0.0000 0.0000
Mo 0.0000 0.5000 0.0000
Mo 0.0000 0.0000 0.5000
Mo 0.5000 0.0000 0.0000
Ta 0.5000 0.5000 0.5000

Calculated values
theoretical density: 9.835 g/cm3

***

#Q
The following is a PBE-GGA calculation of TaNiMo3 after structural relaxation, from the Alexandria database.

abc: 4.7138 4.7138 4.7138
angles: 90.00 90.00 90.00
Positions (direct):
Ni 0.5000 0.5000 0.5000
Mo 0.0000 0.5000 0.0000
Mo 0.0000 0.0000 0.5000
Mo 0.5000 0.0000 0.0000
Ta 0.0000 0.0000 0.0000

Calculated values
theoretical density: 8.362 g/cm3

***

Verdict on stability: #Q comes out at the bottom.

***

#P
The following is a PBE-GGA calculation of TcNiMo2 after structural relaxation, from the Alexandria database.

abc: 2.5803 4.0753 5.5409
angles: 90.00 90.00 90.00
Positions (direct):
Mo 0.0000 0.0000 0.9923
Mo 0.5000 0.5000 0.2711
Ni 0.0000 0.0000 0.5030
Tc 0.5000 0.5000 0.7335

Calculated values
theoretical density: 9.934 g/cm3

***

#Q
The following is a PBE-GGA calculation of TcNiMo2 after structural relaxation, from the Alexandria database.

abc: 5.2101 5.0672 2.6345
angles: 80.85 78.68 117.59
Positions (direct):
Mo 0.0000 0.0000 0.0000
Mo 0.5000 0.0000 0.5000
Ni 0.0000 0.5000 0.5000
Tc 0.5000 0.5000 0.0000

Calculated values
theoretical density: 9.998 g/cm3

***

Verdict on stability: #P comes out at the bottom.